No. 1
Ce2ReGe: relaxed, PBE-GGA.

Cell lengths 4.540, 4.540, 4.085 Å; angles 90.00, 90.00, 90.00 degrees
Positions (direct):
Ce 0.000 0.500 0.000
Ce 0.500 0.000 0.000
Re 0.000 0.000 0.500
Ge 0.500 0.500 0.500

- Energy relative to the elements: -0.86 eV per formula unit
- Crystal system: tetragonal
- Offset from the most stable computed form: 0 meV/atom

=====

No. 2
Na3Zn3OsO8: relaxed, PBE-GGA.

Cell lengths 6.531, 6.531, 6.531 Å; angles 57.55, 57.55, 57.55 degrees
Positions (direct):
Na 0.000 0.500 0.500
Na 0.500 0.000 0.500
Na 0.500 0.500 0.000
Zn 0.000 0.000 0.500
Zn 0.000 0.500 0.000
Zn 0.500 0.000 0.000
Os 0.500 0.500 0.500
O 0.224 0.224 0.224
O 0.276 0.713 0.713
O 0.287 0.287 0.724
O 0.287 0.724 0.287
O 0.713 0.276 0.713
O 0.713 0.713 0.276
O 0.724 0.287 0.287
O 0.776 0.776 0.776

- Formation energy without anion corrections: -1.33 eV/atom
- Crystal system: trigonal

=====

No. 3
PrYCdPb: relaxed, PBE-GGA.

Cell lengths 5.446, 5.446, 5.446 Å; angles 60.00, 60.00, 60.00 degrees
Positions (direct):
Pr 0.000 0.000 0.000
Y 0.500 0.500 0.500
Cd 0.750 0.750 0.750
Pb 0.250 0.250 0.250

- Energy relative to the elements: -1.70 eV per formula unit
- Crystal system: cubic

=====

No. 4
TlAgS4: relaxed, PBE-GGA.

Cell lengths 10.812, 10.812, 10.812 Å; angles 150.37, 150.37, 42.40 degrees
Positions (direct):
Tl 0.375 0.625 0.750
Tl 0.625 0.375 0.250
Ag 0.125 0.875 0.250
Ag 0.875 0.125 0.750
S 0.221 0.291 0.570
S 0.221 0.651 0.930
S 0.291 0.221 0.070
S 0.349 0.779 0.570
S 0.651 0.221 0.430
S 0.709 0.779 0.930
S 0.779 0.349 0.070
S 0.779 0.709 0.430

- Formation energy without anion corrections: 0.05 eV/atom
- Crystal system: tetragonal

=====

No. 5
AgPdPt14: relaxed, PBE-GGA.

Cell lengths 9.341, 5.591, 5.591 Å; angles 59.75, 90.00, 90.00 degrees
Positions (direct):
Ag 0.000 0.000 0.000
Pd 0.000 0.500 0.500
Pt 0.000 0.000 0.501
Pt 0.000 0.501 0.000
Pt 0.248 0.665 0.665
Pt 0.249 0.165 0.165
Pt 0.251 0.165 0.663
Pt 0.251 0.663 0.165
Pt 0.500 0.329 0.329
Pt 0.500 0.330 0.829
Pt 0.500 0.829 0.330
Pt 0.500 0.830 0.830
Pt 0.749 0.165 0.663
Pt 0.749 0.663 0.165
Pt 0.751 0.165 0.165
Pt 0.752 0.665 0.665

- Energy relative to the elements: 0.32 eV per formula unit
- Crystal system: orthorhombic

=====

No. 6
Ho2PuAg3S6: relaxed, PBE-GGA.

Cell lengths 8.798, 8.798, 7.572 Å; angles 98.71, 98.71, 26.47 degrees
Positions (direct):
Ho 0.167 0.167 0.339
Ho 0.833 0.833 0.661
Pu 0.500 0.500 0.000
Ag 0.158 0.158 0.848
Ag 0.500 0.500 0.500
Ag 0.842 0.842 0.152
S 0.005 0.005 0.251
S 0.329 0.329 0.413
S 0.335 0.335 0.907
S 0.665 0.665 0.093
S 0.671 0.671 0.587
S 0.995 0.995 0.749

- Formation energy without anion corrections: -1.19 eV/atom
- Crystal system: monoclinic

=====

| no. | raw total energy (Ry/atom) |
| --- | --- |
| 1 | -0.5474 |
| 2 | -0.3850 |
| 3 | -0.3228 |
| 4 | -0.2626 |
| 5 | -0.4240 |
| 6 | -0.4352 |